# 1
5
Lattice="4.053 0.000 0.000 0.000 4.693 0.000 0.000 0.000 4.053" Properties=species:S:1:pos:R:3 comment="PBE NaMnZnB2, relaxed" formation_energy_ev_per_fu=6.9 pbc="T T T"
Na 2.027 2.347 2.027
Zn 0.000 0.000 0.000
Mn 0.000 2.347 0.000
B 0.000 0.000 2.027
B 2.027 0.000 0.000

---

# 2
4
Lattice="-1.835 -3.240 0.951 -3.815 0.017 0.462 -2.254 -1.757 -2.569" Properties=species:S:1:pos:R:3 comment="PBE MnNbB2, relaxed" formation_energy_ev_per_fu=0.6 pbc="T T T"
Nb -3.952 -2.490 -0.578
Mn 0.000 0.000 0.000
B -1.976 -1.245 -0.289
B -5.928 -3.736 -0.867

---

# 3
7
Lattice="-0.145 -1.692 3.554 3.022 0.397 2.495 -2.191 5.777 4.843" Properties=species:S:1:pos:R:3 comment="PBE MnNb4B2, relaxed" formation_energy_ev_per_fu=-0.4 pbc="T T T"
Mn 0.000 0.000 0.000
Nb -0.757 4.408 6.432
Nb -0.270 1.991 3.119
Nb 0.956 2.492 7.773
Nb 1.442 0.075 4.459
B -1.289 3.999 4.033
B 1.975 0.484 6.858

---

# 4
8
Lattice="3.561 0.000 0.000 0.000 3.561 0.000 1.781 1.781 7.164" Properties=species:S:1:pos:R:3 comment="PBE MnNbB2, relaxed" formation_energy_ev_per_fu=0.8 pbc="T T T"
Nb 0.000 0.000 0.000
Nb 3.561 1.781 3.582
Mn 1.781 1.781 0.000
Mn 1.781 3.561 3.582
B 1.780 0.890 1.791
B 1.781 2.671 1.791
B 2.671 3.562 5.373
B 4.452 3.561 5.373

---

# 5
18
Lattice="3.114 0.000 0.000 0.000 6.140 0.000 0.000 0.000 10.589" Properties=species:S:1:pos:R:3 comment="PBE MnNbB, relaxed" formation_energy_ev_per_fu=-1.6 pbc="T T T"
Mn 1.557 2.604 1.343
Mn 1.557 3.536 9.246
Mn 1.557 2.604 3.951
Mn 1.557 3.536 6.637
Mn 1.557 4.862 2.647
Mn 1.557 1.278 7.941
Nb 0.000 1.490 10.094
Nb 0.000 4.650 0.494
Nb 0.000 1.490 5.788
Nb 0.000 4.650 4.800
Nb 0.000 0.872 2.647
Nb 0.000 5.268 7.941
B 1.557 0.303 0.907
B 1.557 5.837 9.682
B 1.557 0.303 4.388
B 1.557 5.837 6.201
B 0.000 3.353 2.647
B 0.000 2.787 7.941

---

# 6
8
Lattice="6.544 0.000 0.000 0.000 6.544 0.000 3.272 3.272 2.296" Properties=species:S:1:pos:R:3 comment="PBE Mn2NbB, relaxed" formation_energy_ev_per_fu=0.5 pbc="T T T"
Nb 0.000 0.000 0.000
Nb 6.544 3.272 1.148
Mn 4.282 1.636 0.574
Mn 2.262 4.908 0.574
Mn 4.908 5.534 1.722
Mn 8.180 7.554 1.722
B 3.272 3.272 0.000
B 3.272 6.544 1.148

---

# 7
5
Lattice="-1.167 -3.515 0.393 2.544 -0.546 2.664 -2.457 1.103 2.572" Properties=species:S:1:pos:R:3 comment="PBE MnNbB3, relaxed" formation_energy_ev_per_fu=2.4 pbc="T T T"
Nb -0.539 -1.479 2.815
Mn 0.000 0.000 0.000
B 1.272 -0.273 1.332
B -1.228 0.552 1.286
B -0.583 -1.757 0.197

---

# 8
4
Lattice="-1.988 1.615 1.299 -2.994 -3.227 -0.568 2.456 0.144 3.577" Properties=species:S:1:pos:R:3 comment="PBE Mn2NbB, relaxed" formation_energy_ev_per_fu=-0.2 pbc="T T T"
Mn -2.873 -0.935 3.113
Mn 0.348 -0.533 1.195
Nb -2.491 -0.806 0.365
B -0.994 0.808 0.649

---

# 9
3
Lattice="-0.288 -2.231 1.705 2.644 -0.792 -0.590 0.279 3.884 2.793" Properties=species:S:1:pos:R:3 comment="PBE MnNbB, relaxed" formation_energy_ev_per_fu=-0.2 pbc="T T T"
Nb 0.803 1.308 1.847
Mn 2.626 0.845 3.886
B 1.405 -1.143 1.078

---

# 10
5
Lattice="4.144 0.000 0.000 0.000 4.144 0.000 0.000 0.000 4.144" Properties=species:S:1:pos:R:3 comment="PBE MnNbB3, relaxed" formation_energy_ev_per_fu=9.5 pbc="T T T"
Nb 0.000 0.000 0.000
Mn 2.072 2.072 2.072
B 0.000 2.072 0.000
B 0.000 0.000 2.072
B 2.072 0.000 0.000

---

# 11
6
Lattice="-1.324 -2.019 -2.000 1.567 -3.735 2.733 -3.932 3.019 2.013" Properties=species:S:1:pos:R:3 comment="PBE MnNbB, relaxed" formation_energy_ev_per_fu=-1.4 pbc="T T T"
Mn 0.384 -0.914 0.669
Mn 1.183 -2.820 2.064
Nb -2.288 0.086 1.429
Nb -1.401 -2.820 1.318
B -1.428 -0.981 -0.522
B -2.262 -1.753 3.268

---

# 12
4
Lattice="-2.532 1.557 -1.221 -2.375 -1.647 -1.404 -3.863 -0.377 3.300" Properties=species:S:1:pos:R:3 comment="PBE MnNbB2, relaxed" formation_energy_ev_per_fu=-1.2 pbc="T T T"
Nb -4.385 -0.233 0.338
Mn 0.000 0.000 0.000
B -2.105 -0.103 0.005
B -6.665 -0.363 0.671

---

# 13
7
Lattice="-0.870 -2.875 -0.482 0.942 -0.774 2.917 -5.925 3.225 1.056" Properties=species:S:1:pos:R:3 comment="PBE Mn2NbB4, relaxed" formation_energy_ev_per_fu=-4.1 pbc="T T T"
Nb -0.435 -1.438 -0.241
Mn -3.645 -0.949 2.639
Mn -2.207 0.525 0.852
B -1.694 -1.413 1.886
B -4.158 0.989 1.605
B -0.385 -0.183 1.789
B -5.467 -0.240 1.702

---

# 14
4
Lattice="-3.124 -0.644 -0.206 0.538 -1.854 -2.365 2.050 -2.867 2.714" Properties=species:S:1:pos:R:3 comment="PBE MnNbB2, relaxed" formation_energy_ev_per_fu=-2.1 pbc="T T T"
Mn -0.240 -2.445 -0.109
Nb -2.281 -0.484 -0.140
B 1.504 -3.327 0.980
B 1.125 -1.667 1.563

---

# 15
16
Lattice="-2.356 1.966 1.390 -3.350 -4.228 0.300 3.116 -1.904 7.973" Properties=species:S:1:pos:R:3 comment="PBE MnNbB2, relaxed" formation_energy_ev_per_fu=-2.0 pbc="T T T"
Mn -2.802 -0.191 1.644
Mn 0.211 -3.975 8.019
Mn -3.303 -3.022 4.797
Mn 0.712 -1.144 4.866
Nb -1.921 -0.818 4.024
Nb -0.670 -3.347 5.639
Nb -4.280 -2.515 2.426
Nb 1.688 -1.651 7.237
B 0.361 -0.243 2.997
B -2.952 -3.923 6.666
B -1.821 -2.047 1.849
B -0.770 -2.118 7.814
B -0.772 -0.641 1.638
B -1.819 -3.525 8.025
B -1.852 -3.119 3.312
B -0.739 -1.047 6.351

---

# 16
5
Lattice="4.512 0.000 0.000 0.000 4.512 0.000 0.000 0.000 4.512" Properties=species:S:1:pos:R:3 comment="PBE MnNb3B, relaxed" formation_energy_ev_per_fu=6.8 pbc="T T T"
Nb 0.000 2.256 0.000
Nb 0.000 0.000 2.256
Nb 2.256 0.000 0.000
Mn 0.000 0.000 0.000
B 2.256 2.256 2.256

---

# 17
29
Lattice="6.511 0.000 3.759 2.170 6.139 3.759 0.000 0.000 7.518" Properties=species:S:1:pos:R:3 comment="PBE Mn21Nb2B6, relaxed" formation_energy_ev_per_fu=-6.9 pbc="T T T"
Mn 0.000 0.000 0.000
Mn 5.344 3.779 5.780
Mn 5.344 3.779 9.257
Mn 4.341 0.940 7.518
Mn 2.333 3.779 7.518
Mn 3.337 2.360 9.257
Mn 3.337 2.360 5.780
Mn 4.341 5.198 7.518
Mn 6.348 2.360 7.518
Mn 4.258 0.000 5.060
Mn 1.419 4.014 5.060
Mn 0.000 0.000 2.602
Mn 1.419 4.014 2.458
Mn 4.258 0.000 2.458
Mn 0.000 0.000 4.916
Mn 0.751 2.124 1.301
Mn 0.751 2.124 6.217
Mn 5.009 2.124 3.759
Mn 2.253 0.000 6.217
Mn 2.253 0.000 1.301
Mn 3.673 4.014 3.759
Nb 6.511 4.604 11.277
Nb 2.170 1.535 3.759
B 3.342 4.482 5.788
B 5.340 1.657 5.788
B 6.338 4.482 7.518
B 5.340 1.657 9.248
B 3.342 4.482 9.248
B 2.343 1.657 7.518

---

# 18
22
Lattice="3.207 0.000 0.000 -1.604 7.183 0.000 0.000 0.000 8.818" Properties=species:S:1:pos:R:3 comment="PBE MnNb3B7, relaxed" formation_energy_ev_per_fu=-7.4 pbc="T T T"
Mn 1.604 6.481 2.205
Mn 0.000 0.702 6.614
Nb 0.000 1.529 3.937
Nb 1.604 5.654 4.882
Nb 0.000 3.560 6.614
Nb 1.604 3.623 2.205
Nb 0.000 1.529 0.473
Nb 1.604 5.654 8.346
B 0.000 6.248 6.614
B 1.604 0.935 2.205
B 0.000 6.971 3.572
B 1.604 0.212 5.247
B 1.604 0.212 7.981
B 0.000 6.971 0.837
B 0.000 5.292 3.072
B 1.604 1.891 5.747
B 0.000 3.921 4.122
B 1.604 3.262 4.696
B 1.604 3.262 8.532
B 0.000 3.921 0.287
B 0.000 5.292 1.337
B 1.604 1.891 7.481

---

# 19
5
Lattice="4.629 0.000 0.000 0.000 4.547 0.000 0.000 0.000 4.629" Properties=species:S:1:pos:R:3 comment="PBE Mn2NbNiB, relaxed" formation_energy_ev_per_fu=10.7 pbc="T T T"
Ni 0.000 2.274 0.000
Nb 0.000 0.000 0.000
Mn 0.000 0.000 2.314
Mn 2.314 0.000 0.000
B 2.314 2.274 2.314

---

# 20
5
Lattice="-2.634 2.887 -2.530 -3.236 -1.619 1.521 0.075 3.106 3.467" Properties=species:S:1:pos:R:3 comment="PBE MnNb2BS, relaxed" formation_energy_uncorrected_ev_per_atom=1.12 pbc="T T T"
Nb 0.037 1.553 1.733
Nb -1.317 1.444 -1.265
Mn 0.000 0.000 0.000
S -1.618 -0.810 0.760
B -2.898 2.187 1.229

---

# 21
5
Lattice="4.725 0.000 0.000 0.000 4.435 0.000 0.000 0.000 4.725" Properties=species:S:1:pos:R:3 comment="PBE MnNbTl2B, relaxed" formation_energy_ev_per_fu=4.6 pbc="T T T"
Tl 0.000 0.000 2.362
Tl 2.362 0.000 0.000
Mn 2.362 2.218 2.362
Nb 0.000 2.218 0.000
B 0.000 0.000 0.000

---

# 22
20
Lattice="2.983 0.000 0.000 0.000 8.740 0.000 0.000 0.000 8.740" Properties=species:S:1:pos:R:3 comment="PBE Mn5Nb2VB2, relaxed" formation_energy_ev_per_fu=-3.6 pbc="T T T"
Mn 1.491 1.870 0.590
Mn 1.491 6.870 8.150
Mn 1.491 0.590 6.870
Mn 1.491 6.239 3.780
Mn 1.491 8.150 1.870
Mn 1.491 2.500 4.959
Mn 1.491 4.959 6.239
Mn 1.491 3.780 2.500
Mn 1.491 4.370 0.000
Mn 1.491 0.000 4.370
Nb 0.000 5.897 1.527
Nb 0.000 2.843 7.213
Nb 0.000 1.527 2.843
Nb 0.000 7.213 5.897
V 0.000 0.000 0.000
V 0.000 4.370 4.370
B 0.000 1.071 5.440
B 0.000 7.669 3.299
B 0.000 5.440 7.669
B 0.000 3.299 1.071

---

# 23
5
Lattice="-2.087 1.444 -3.020 -1.916 -3.921 -0.551 -2.873 1.053 2.490" Properties=species:S:1:pos:R:3 comment="PBE MnNbV2B, relaxed" formation_energy_ev_per_fu=1.4 pbc="T T T"
Nb -0.958 -1.961 -0.276
Mn -3.438 -0.712 -0.541
B 0.000 0.000 0.000
V -1.436 0.527 1.245
V -1.044 0.722 -1.510

---

# 24
5
Lattice="4.600 0.000 0.000 0.000 4.243 0.000 0.000 0.000 4.600" Properties=species:S:1:pos:R:3 comment="PBE Zr2MnNbB, relaxed" formation_energy_ev_per_fu=1.5 pbc="T T T"
Nb 0.000 2.121 0.000
Mn 2.300 2.121 2.300
B 0.000 0.000 0.000
Zr 0.000 0.000 2.300
Zr 2.300 0.000 0.000